DFT (meta-GGA SCAN) results for a crystal of KSnMoSe2 relaxed with PBEsol.

Values from the calculation:
Its formation energy (no corrections) is 0.419 eV per atom. As for the symmetry: P4/mmm (123). The density of states at the Fermi level comes out at 2.012 states/eV per cell.

a = 5.462 Å, b = 5.462 Å, c = 5.248 Å
α = 90.00°, β = 90.00°, γ = 90.00°
Sites, in units of the cell vectors:
K: 0.000 0.000 0.000
Sn: 0.500 0.500 0.500
Mo: 0.500 0.500 0.000
Se: 0.000 0.500 0.500
Se: 0.500 0.000 0.500

=====

DFT (meta-GGA SCAN) results for a crystal of K2SiMo relaxed with PBEsol.

Values from the calculation:
Its formation energy (no corrections) is 0.984 eV per atom. As for the symmetry: F-43m (216). The density of states at the Fermi level comes out at 2.129 states/eV per cell.

a = 5.194 Å, b = 5.194 Å, c = 5.194 Å
α = 60.00°, β = 60.00°, γ = 60.00°
Sites, in units of the cell vectors:
K: 0.000 0.000 0.000
K: 0.250 0.250 0.250
Si: 0.500 0.500 0.500
Mo: 0.750 0.750 0.750

=====

DFT (meta-GGA SCAN) results for a crystal of K2SiMo relaxed with PBEsol.

Values from the calculation:
Its formation energy (no corrections) is 1.116 eV per atom. As for the symmetry: Cmmm (65). The density of states at the Fermi level comes out at 2.636 states/eV per cell.

a = 2.725 Å, b = 2.725 Å, c = 11.585 Å
α = 90.00°, β = 90.00°, γ = 91.87°
Sites, in units of the cell vectors:
K: 0.000 0.000 0.236
K: 0.000 0.000 0.764
Si: 0.500 0.500 0.000
Mo: 0.500 0.500 0.500

=====

DFT (meta-GGA SCAN) results for a crystal of KSiMo relaxed with PBEsol.

Values from the calculation:
Its formation energy (no corrections) is 0.436 eV per atom. As for the symmetry: I4mm (107). The value obtained for the energy above the most stable polymorph in this dataset is 0 meV per atom. The density of states at the Fermi level comes out at 1.544 states/eV per cell.

a = 6.715 Å, b = 6.715 Å, c = 6.715 Å
α = 150.71°, β = 150.71°, γ = 41.89°
Sites, in units of the cell vectors:
K: 0.000 0.000 0.000
Si: 0.255 0.255 0.000
Mo: 0.736 0.736 0.000

=====

DFT (meta-GGA SCAN) results for a crystal of K2SiMo relaxed with PBEsol.

Values from the calculation:
Its formation energy (no corrections) is 0.395 eV per atom. As for the symmetry: C2/m (12). The density of states at the Fermi level comes out at 2.139 states/eV per cell.

a = 10.465 Å, b = 10.465 Å, c = 3.503 Å
α = 98.53°, β = 98.53°, γ = 18.70°
Sites, in units of the cell vectors:
K: 0.148 0.148 0.130
K: 0.852 0.852 0.870
Si: 0.500 0.500 0.000
Mo: 0.000 0.000 0.500

=====

DFT (meta-GGA SCAN) results for a crystal of KSiMo relaxed with PBEsol.

Values from the calculation:
Its formation energy (no corrections) is 2.096 eV per atom. As for the symmetry: F-43m (216). The value obtained for the energy above the most stable polymorph in this dataset is 1661 meV per atom. The density of states at the Fermi level comes out at 1.032 states/eV per cell.

a = 4.770 Å, b = 4.770 Å, c = 4.770 Å
α = 60.00°, β = 60.00°, γ = 60.00°
Sites, in units of the cell vectors:
K: 0.000 0.000 0.000
Si: 0.250 0.250 0.250
Mo: 0.750 0.750 0.750

=====

DFT (meta-GGA SCAN) results for a crystal of K3SnMo relaxed with PBEsol.

Values from the calculation:
For the formation energy, the calculation gives 497 kJ/mol of formula units. As for the symmetry: Pm-3m (221). The density of states at the Fermi level comes out at 1.588 states/eV per cell.

a = 6.625 Å, b = 6.625 Å, c = 6.625 Å
α = 90.00°, β = 90.00°, γ = 90.00°
Sites, in units of the cell vectors:
K: 0.000 0.000 0.500
K: 0.000 0.500 0.000
K: 0.500 0.000 0.000
Sn: 0.000 0.000 0.000
Mo: 0.500 0.500 0.500

=====

DFT (meta-GGA SCAN) results for a crystal of K2SrMo relaxed with PBEsol.

Values from the calculation:
For the formation energy, the calculation gives 400 kJ/mol of formula units. As for the symmetry: F-43m (216). The value obtained for the energy above the most stable polymorph in this dataset is 0 meV per atom. The density of states at the Fermi level comes out at 2.980 states/eV per cell.

a = 6.133 Å, b = 6.133 Å, c = 6.133 Å
α = 60.00°, β = 60.00°, γ = 60.00°
Sites, in units of the cell vectors:
K: 0.000 0.000 0.000
K: 0.250 0.250 0.250
Sr: 0.500 0.500 0.500
Mo: 0.750 0.750 0.750

=====

DFT (meta-GGA SCAN) results for a crystal of KSrMo2 relaxed with PBEsol.

Values from the calculation:
For the formation energy, the calculation gives 369 kJ/mol of formula units. As for the symmetry: Cm (8). The density of states at the Fermi level comes out at 4.384 states/eV per cell.

a = 4.414 Å, b = 4.414 Å, c = 9.355 Å
α = 94.76°, β = 94.76°, γ = 43.69°
Sites, in units of the cell vectors:
K: 0.000 0.000 0.000
Sr: 0.793 0.793 0.413
Mo: 0.237 0.237 0.721
Mo: 0.539 0.539 0.643

=====

DFT (meta-GGA SCAN) results for a crystal of KSrMo3 relaxed with PBEsol.

Values from the calculation:
For the formation energy, the calculation gives 1601 kJ/mol of formula units. As for the symmetry: Pm-3m (221). The density of states at the Fermi level comes out at 8.676 states/eV per cell.

a = 4.928 Å, b = 4.928 Å, c = 4.928 Å
α = 90.00°, β = 90.00°, γ = 90.00°
Sites, in units of the cell vectors:
K: 0.000 0.000 0.000
Sr: 0.500 0.500 0.500
Mo: 0.000 0.500 0.500
Mo: 0.500 0.000 0.500
Mo: 0.500 0.500 0.000

=====

DFT (meta-GGA SCAN) results for a crystal of K2SrMo relaxed with PBEsol.

Values from the calculation:
For the formation energy, the calculation gives 447 kJ/mol of formula units. As for the symmetry: Fm-3m (225). The value obtained for the energy above the most stable polymorph in this dataset is 121 meV per atom. The density of states at the Fermi level comes out at 3.297 states/eV per cell.

a = 6.199 Å, b = 6.199 Å, c = 6.199 Å
α = 60.00°, β = 60.00°, γ = 60.00°
Sites, in units of the cell vectors:
K: 0.250 0.250 0.250
K: 0.750 0.750 0.750
Sr: 0.000 0.000 0.000
Mo: 0.500 0.500 0.500

=====

DFT (meta-GGA SCAN) results for a crystal of K2SrMo relaxed with PBEsol.

Values from the calculation:
For the formation energy, the calculation gives 447 kJ/mol of formula units. As for the symmetry: P4/mmm (123). The value obtained for the energy above the most stable polymorph in this dataset is 123 meV per atom. The density of states at the Fermi level comes out at 3.229 states/eV per cell.

a = 3.818 Å, b = 3.818 Å, c = 12.141 Å
α = 90.00°, β = 90.00°, γ = 90.00°
Sites, in units of the cell vectors:
K: 0.000 0.000 0.202
K: 0.000 0.000 0.798
Sr: 0.500 0.500 0.500
Mo: 0.500 0.500 0.000

=====

DFT (meta-GGA SCAN) results for a crystal of KTaMo2 relaxed with PBEsol.

Values from the calculation:
For the formation energy, the calculation gives 322 kJ/mol of formula units. As for the symmetry: Pmm2 (25). The value obtained for the energy above the most stable polymorph in this dataset is 126 meV per atom. The density of states at the Fermi level comes out at 3.558 states/eV per cell.

a = 3.286 Å, b = 3.443 Å, c = 8.413 Å
α = 90.00°, β = 90.00°, γ = 90.00°
Sites, in units of the cell vectors:
K: 0.000 0.000 0.000
Ta: 0.500 0.500 0.630
Mo: 0.000 0.000 0.478
Mo: 0.500 0.500 0.339

=====

DFT (meta-GGA SCAN) results for a crystal of KTaMo2 relaxed with PBEsol.

Values from the calculation:
For the formation energy, the calculation gives 540 kJ/mol of formula units. As for the symmetry: C2/m (12). The value obtained for the energy above the most stable polymorph in this dataset is 690 meV per atom. The density of states at the Fermi level comes out at 3.834 states/eV per cell.

a = 5.689 Å, b = 5.689 Å, c = 2.621 Å
α = 95.98°, β = 95.98°, γ = 118.73°
Sites, in units of the cell vectors:
K: 0.000 0.000 0.000
Ta: 0.500 0.500 0.000
Mo: 0.000 0.500 0.500
Mo: 0.500 0.000 0.500

=====

DFT (meta-GGA SCAN) results for a crystal of KTaMo2 relaxed with PBEsol.

Values from the calculation:
For the formation energy, the calculation gives 603 kJ/mol of formula units. As for the symmetry: F-43m (216). The value obtained for the energy above the most stable polymorph in this dataset is 853 meV per atom. The density of states at the Fermi level comes out at 4.961 states/eV per cell.

a = 4.658 Å, b = 4.658 Å, c = 4.658 Å
α = 60.00°, β = 60.00°, γ = 60.00°
Sites, in units of the cell vectors:
K: 0.000 0.000 0.000
Ta: 0.750 0.750 0.750
Mo: 0.250 0.250 0.250
Mo: 0.500 0.500 0.500